1.
# Dy12YSc7

A relaxed Dy12YSc7 crystal (PBE, Alexandria via LeMat-Bulk).

Lattice parameters (Å, degrees): 9.4828 9.4828 9.4828 109.47 109.47 109.47
Positions (direct):
Dy1 0.5220 0.2611 0.2608
Dy2 0.9997 0.7389 0.2608
Dy3 0.7389 0.7392 0.4780
Dy4 0.7389 0.2608 0.9997
Dy5 0.4780 0.7389 0.7392
Dy6 0.0003 0.2611 0.7392
Dy7 0.2608 0.9997 0.7389
Dy8 0.7392 0.4780 0.7389
Dy9 0.2611 0.7392 0.0003
Dy10 0.2608 0.5220 0.2611
Dy11 0.2611 0.2608 0.5220
Dy12 0.7392 0.0003 0.2611
Sc1 0.5000 0.5000 0.5000
Sc2 0.0000 0.5000 0.0000
Sc3 0.5000 0.0000 0.5000
Sc4 0.5000 0.0000 0.0000
Sc5 0.0000 0.5000 0.5000
Sc6 0.0000 0.0000 0.5000
Sc7 0.5000 0.5000 0.0000
Y1 0.0000 0.0000 0.0000

Calculated values
SG: No. 229
E: -92.47 eV per cell
Total magnetization: 0.0 μB per cell
Relative energy among the computed polymorphs: 11.65 kcal/mol of atoms
DFT formation energy: 677 meV per atom


2.
# Dy3Y8Sc3

A relaxed Dy3Y8Sc3 crystal (PBE, Alexandria via LeMat-Bulk).

Lattice parameters (Å, degrees): 5.5435 9.4867 9.4867 102.56 73.02 73.02
Positions (direct):
Y1 0.1603 0.2378 0.4417
Y2 0.3419 0.4385 0.8778
Y3 0.3419 0.8778 0.4385
Y4 0.8397 0.5583 0.7622
Y5 0.6581 0.1222 0.5615
Y6 0.8397 0.7622 0.5583
Y7 0.6581 0.5615 0.1222
Y8 0.1603 0.4417 0.2378
Dy1 0.5000 0.0000 0.0000
Dy2 0.0000 0.1755 0.8245
Dy3 0.0000 0.8245 0.1755
Sc1 0.5000 0.5000 0.5000
Sc2 0.2060 0.7940 0.7940
Sc3 0.7940 0.2060 0.2060

Calculated values
SG: No. 71
E: -82.61 eV per cell
Total magnetization: 0.0 μB per cell
DFT formation energy: 136 meV per atom


3.
# Dy6YSc4

A relaxed Dy6YSc4 crystal (PBE, Alexandria via LeMat-Bulk).

Lattice parameters (Å, degrees): 6.7262 6.7262 8.7195 112.69 112.69 90.00
Positions (direct):
Dy1 0.4852 0.8905 0.3756
Dy2 0.8905 0.4852 0.3756
Dy3 0.5148 0.5148 0.6244
Dy4 0.5000 0.0000 0.0000
Dy5 0.0000 0.5000 0.0000
Dy6 0.1095 0.1095 0.6244
Y1 0.5000 0.5000 0.0000
Sc1 0.0589 0.7511 0.8100
Sc2 0.9411 0.9411 0.1900
Sc3 0.7511 0.0589 0.8100
Sc4 0.2489 0.2489 0.1900

Calculated values
SG: No. 121
E: -55.71 eV per cell
Total magnetization: 0.0 μB per cell
DFT formation energy: 336 meV per atom


4.
# Dy12YSc3

A relaxed Dy12YSc3 crystal (PBE, Alexandria via LeMat-Bulk).

Lattice parameters (Å, degrees): 4.9432 4.9432 19.7113 90.00 90.00 90.00
Positions (direct):
Dy1 0.5000 0.0000 0.8708
Dy2 0.5000 0.0000 0.1292
Dy3 0.5000 0.0000 0.6236
Dy4 0.5000 0.5000 0.0000
Dy5 0.0000 0.5000 0.6236
Dy6 0.0000 0.5000 0.8708
Dy7 0.5000 0.5000 0.5000
Dy8 0.0000 0.5000 0.3764
Dy9 0.0000 0.5000 0.1292
Dy10 0.5000 0.5000 0.7469
Dy11 0.5000 0.0000 0.3764
Dy12 0.5000 0.5000 0.2531
Sc1 0.0000 0.0000 0.2525
Sc2 0.0000 0.0000 0.5000
Sc3 0.0000 0.0000 0.7475
Y1 0.0000 0.0000 0.0000

Calculated values
SG: No. 123
E: -80.10 eV per cell
Total magnetization: 0.0 μB per cell
DFT formation energy: 36 meV per atom